First-principles (PBE) data for LaZrGeAsH after structural relaxation, as listed in Alexandria.

crystal system	monoclinic
electronic total energy	-29.73	eV/f.u.

Unit cell a=4.1903 b=4.1903 c=6.5798 alpha=90.04 beta=90.04 gamma=59.24
Closest atoms and distances in Å follow each position.
Element x y z (fractional)
La 0.0000 0.0000 0.0000  1 H 2.62
Zr 0.6571 0.6571 0.5084  2 H 2.24
Ge 0.3343 0.3343 0.7311  1 H 1.97
As 0.3330 0.3330 0.2850  3 Zr 2.78-2.85, 1 H 2.81, 1 Ge 2.94, 3 La 3.05-3.07
H 0.0863 0.0863 0.6132  1 Ge 1.97


First-principles (PBE) data for LaZrGeAsH after structural relaxation, as listed in Alexandria.

crystal system	trigonal
electronic total energy	-29.98	eV/f.u.

Unit cell a=8.0358 b=8.0358 c=8.0358 alpha=28.19 beta=28.19 gamma=28.19
Closest atoms and distances in Å follow each position.
Element x y z (fractional)
La 0.0000 0.0000 0.0000  3 H 2.27
Zr 0.8331 0.8331 0.8331  3 As 2.78, 3 Ge 2.79
Ge 0.4291 0.4291 0.4291  3 Zr 2.79
As 0.2363 0.2363 0.2363  3 Zr 2.78, 3 H 3.05
H 0.6581 0.6581 0.6581  3 La 2.27


First-principles (PBE) data for LaZrGeAsH after structural relaxation, as listed in Alexandria.

crystal system	triclinic
electronic total energy	-29.76	eV/f.u.

Unit cell a=4.0035 b=4.0518 c=7.6349 alpha=90.11 beta=105.05 gamma=119.49
Closest atoms and distances in Å follow each position.
Element x y z (fractional)
La 0.0000 0.0000 0.0000  1 H 2.34
Zr 0.6367 0.8185 0.4653  1 H 2.00
Ge 0.5005 0.2581 0.7008  1 H 1.76
As 0.8412 0.4200 0.2639  3 Zr 2.74-2.77, 3 La 3.01-3.03
H 0.0194 0.1469 0.7057  1 Ge 1.76


First-principles (PBE) data for LaZrGeAsH after structural relaxation, as listed in Alexandria.

crystal system	trigonal
electronic total energy	-29.67	eV/f.u.

Unit cell a=4.1003 b=4.1003 c=7.0336 alpha=90.00 beta=90.00 gamma=120.00
Closest atoms and distances in Å follow each position.
Element x y z (fractional)
La 0.0000 0.0000 0.0000  3 H 2.40
Zr 0.3333 0.6667 0.5036  3 Ge 2.77, 3 As 2.78
Ge 0.6667 0.3333 0.3004  1 H 1.72
As 0.6667 0.3333 0.7121  1 H 2.42
H 0.6667 0.3333 0.0564  1 Ge 1.72


First-principles (PBE) data for LaZrGeAsH after structural relaxation, as listed in Alexandria.

crystal system	monoclinic
electronic total energy	-29.48	eV/f.u.

Unit cell a=4.0139 b=4.0139 c=7.7267 alpha=105.03 beta=105.03 gamma=58.85
Closest atoms and distances in Å follow each position.
Element x y z (fractional)
La 0.0000 0.0000 0.0000  3 As 2.97-3.01, 3 Ge 3.09-3.24
Zr 0.8171 0.8171 0.4619  2 H 2.23
Ge 0.2125 0.2125 0.7018  1 H 1.70
As 0.4183 0.4183 0.2568  1 H 2.70, 3 Zr 2.75-2.77, 3 La 2.97-3.01
H 0.3964 0.3964 0.5996  1 Ge 1.70


First-principles (PBE) data for LaZrGeAsH after structural relaxation, as listed in Alexandria.

crystal system	monoclinic
electronic total energy	-30.16	eV/f.u.

Unit cell a=4.1815 b=4.1815 c=7.0797 alpha=107.23 beta=107.23 gamma=60.04
Closest atoms and distances in Å follow each position.
Element x y z (fractional)
La 0.0000 0.0000 0.0000  3 H 2.43
Zr 0.4975 0.4975 0.4928  3 Ge 2.77, 3 As 2.81
Ge 0.2325 0.2325 0.6978  1 H 1.72
As 0.7588 0.7588 0.2769  3 Zr 2.81, 3 La 3.04
H 0.3186 0.3186 0.9567  1 Ge 1.72


First-principles (PBE) data for LaZrGeAsH after structural relaxation, as listed in Alexandria.

crystal system	trigonal
electronic total energy	-29.89	eV/f.u.

Unit cell a=7.2510 b=7.2510 c=7.2510 alpha=33.45 beta=33.45 gamma=33.45
Closest atoms and distances in Å follow each position.
Element x y z (fractional)
La 0.0000 0.0000 0.0000  3 H 2.41
Zr 0.1761 0.1761 0.1761  3 Ge 2.74, 3 As 2.85
Ge 0.5734 0.5734 0.5734  1 H 1.85
As 0.4351 0.4351 0.4351  1 Ge 2.84, 3 Zr 2.85
H 0.6636 0.6636 0.6636  1 Ge 1.85


First-principles (PBE) data for LaZrGeAsH after structural relaxation, as listed in Alexandria.

crystal system	monoclinic
electronic total energy	-30.02	eV/f.u.

Unit cell a=3.9241 b=3.9241 c=8.0383 alpha=104.15 beta=104.15 gamma=59.90
Closest atoms and distances in Å follow each position.
Element x y z (fractional)
La 0.0000 0.0000 0.0000  3 H 2.28
Zr 0.8238 0.8238 0.4710  3 As 2.72, 3 Ge 2.88
Ge 0.2332 0.2332 0.7011  3 Zr 2.88, 3 H 3.05
As 0.4254 0.4254 0.2762  3 Zr 2.72
H 0.6554 0.6554 0.9656  3 La 2.28


First-principles (PBE) data for LaZrGeAsH after structural relaxation, as listed in Alexandria.

crystal system	monoclinic
electronic total energy	-30.04	eV/f.u.

Unit cell a=4.1036 b=4.1036 c=7.2646 alpha=107.01 beta=107.01 gamma=60.58
Closest atoms and distances in Å follow each position.
Element x y z (fractional)
La 0.0000 0.0000 0.0000  2 H 2.59
Zr 0.4999 0.4999 0.4937  1 H 2.11
Ge 0.2291 0.2291 0.7156  1 H 1.77
As 0.7586 0.7586 0.2747  3 Zr 2.81, 3 La 3.02-3.04
H 0.4932 0.4932 0.7824  1 Ge 1.77


First-principles (PBE) data for LaZrGeAsH after structural relaxation, as listed in Alexandria.

crystal system	triclinic
electronic total energy	-29.87	eV/f.u.

Unit cell a=4.0646 b=4.0918 c=7.3101 alpha=105.71 beta=90.08 gamma=119.60
Closest atoms and distances in Å follow each position.
Element x y z (fractional)
La 0.0000 0.0000 0.0000  1 H 2.65
Zr 0.5081 0.0154 0.5083  2 H 2.28-2.29
Ge 0.7473 0.4963 0.2750  1 H 1.72
As 0.2447 0.4883 0.7279  1 H 2.68, 3 Zr 2.80-2.82
H 0.0017 0.0055 0.3639  1 Ge 1.72


First-principles (PBE) data for Li2GeAsH after structural relaxation, as listed in Alexandria.

crystal system	tetragonal
electronic total energy	-17.79	eV/f.u.

Unit cell a=4.0341 b=4.0341 c=4.2281 alpha=90.00 beta=90.00 gamma=90.00
Closest atoms and distances in Å follow each position.
Element x y z (fractional)
Li 0.0000 0.5000 0.0000  2 H 2.02
Li 0.5000 0.0000 0.0000  2 H 2.02
Ge 0.0000 0.0000 0.5000  2 H 2.11
As 0.5000 0.5000 0.5000  4 Ge 2.85, 8 Li 2.92
H 0.0000 0.0000 0.0000  4 Li 2.02, 2 Ge 2.11


First-principles (PBE) data for RbGeAsHSe after structural relaxation, as listed in Alexandria.

crystal system	triclinic
electronic total energy	-18.00	eV/f.u.

Unit cell a=3.9497 b=5.1013 c=7.0671 alpha=100.98 beta=106.01 gamma=90.88
Closest atoms and distances in Å follow each position.
Element x y z (fractional)
Rb 0.0000 0.0000 0.0000  1 H 2.95
Ge 0.8110 0.3958 0.5585  2 As 2.45-2.49, 1 Se 2.55
As 0.3024 0.1063 0.5647  1 H 2.30, 2 Ge 2.45-2.49
H 0.4216 0.7672 0.3330  1 Se 1.54
Se 0.6188 0.5561 0.2266  1 H 1.54


First-principles (PBE) data for RbGeAsHSe after structural relaxation, as listed in Alexandria.

crystal system	triclinic
electronic total energy	-18.41	eV/f.u.

Unit cell a=4.0019 b=5.7543 c=6.0130 alpha=78.81 beta=77.03 gamma=89.86
Closest atoms and distances in Å follow each position.
Element x y z (fractional)
Rb 0.0000 0.0000 0.0000  2 H 3.22-3.34, 4 Se 3.46-3.57
Ge 0.4857 0.6064 0.5685  1 H 1.58
As 0.0328 0.4206 0.4279  2 Ge 2.48-2.49
H 0.4871 0.8866 0.5063  1 Ge 1.58
Se 0.4984 0.4986 0.9743  1 Ge 2.41